*i*
4
Lattice="2.704 -4.242 0.000 2.704 4.242 0.000 0.000 0.000 3.859" Properties=species:S:1:pos:R:3 comment="HgPSe2, relaxed, DFT PBE-GGA" m_tot_mub_per_atom=0.000 dos_at_fermi_per_ev_atom=0.2818 pbc="T T T"
Hg 2.704 0.000 1.930
P 0.000 0.000 1.930
Se 2.704 -2.390 0.000
Se 2.704 2.390 0.000


*ii*
4
Lattice="3.963 0.000 0.000 0.000 3.963 0.000 0.000 0.000 5.507" Properties=species:S:1:pos:R:3 comment="HgPSe2, relaxed, DFT PBE-GGA" m_tot_mub_per_atom=0.000 dos_at_fermi_per_ev_atom=0.8689 pbc="T T T"
Hg 1.982 1.982 2.753
P 0.000 0.000 2.753
Se 0.000 0.000 0.000
Se 1.982 1.982 0.000


*iii*
4
Lattice="1.734 -2.642 0.000 1.734 2.642 0.000 0.000 0.000 10.126" Properties=species:S:1:pos:R:3 comment="HgPSe2, relaxed, DFT PBE-GGA" m_tot_mub_per_atom=0.000 dos_at_fermi_per_ev_atom=0.7435 pbc="T T T"
Hg 1.734 0.000 5.063
P 1.734 0.000 0.000
Se 0.000 0.000 1.827
Se 0.000 0.000 8.298


It turns out *i* is the most stable, with the second structure 18.0 kJ/mol of atoms higher.


*i*
4
Lattice="-0.253 3.073 -0.173 -3.066 -0.266 -0.253 -0.911 0.517 10.515" Properties=species:S:1:pos:R:3 comment="HgPSe2, relaxed, DFT PBE-GGA" m_tot_mub_per_atom=0.000 dos_at_fermi_per_ev_atom=0.6494 pbc="T T T"
Hg -0.464 0.263 5.350
P -2.410 1.829 8.451
Se -0.849 0.481 9.792
Se -1.874 1.525 2.269


*ii*
4
Lattice="3.775 0.000 0.000 0.000 2.806 -0.024 0.000 0.082 8.542" Properties=species:S:1:pos:R:3 comment="HgPSe2, relaxed, DFT PBE-GGA" m_tot_mub_per_atom=0.000 dos_at_fermi_per_ev_atom=0.4429 pbc="T T T"
Hg 0.000 0.742 4.173
P 1.888 0.717 2.002
Se 0.000 0.703 0.348
Se 1.888 0.767 6.267


It turns out *ii* is the most stable, with the second structure 16.2 kJ/mol of atoms higher.


*i*
4
Lattice="1.585 -2.744 0.000 1.585 2.744 0.000 0.000 0.000 10.694" Properties=species:S:1:pos:R:3 comment="HgPSe2, relaxed, DFT PBE-GGA" m_tot_mub_per_atom=0.000 dos_at_fermi_per_ev_atom=0.4687 pbc="T T T"
Hg 0.000 0.000 5.178
P 1.585 0.000 2.172
Se 0.000 0.000 0.472
Se 1.585 0.000 8.219


*ii*
4
Lattice="-0.478 1.957 8.596 -0.167 6.497 5.976 -2.296 -4.143 -7.450" Properties=species:S:1:pos:R:3 comment="HgPSe2, relaxed, DFT PBE-GGA" m_tot_mub_per_atom=0.000 dos_at_fermi_per_ev_atom=0.5288 pbc="T T T"
Hg -0.322 4.227 7.286
P -1.548 1.021 4.215
Se 0.000 0.000 0.000
Se -1.393 3.290 2.906


*iii*
4
Lattice="0.000 3.445 3.445 3.445 0.000 3.445 3.445 3.445 0.000" Properties=species:S:1:pos:R:3 comment="HgPSe2, relaxed, DFT PBE-GGA" m_tot_mub_per_atom=0.000 dos_at_fermi_per_ev_atom=0.8248 pbc="T T T"
Hg 3.445 3.445 3.445
P 5.167 5.167 5.167
Se 0.000 0.000 0.000
Se 1.722 1.722 1.722


It turns out *ii* is the most stable, with the second structure 9.0 kJ/mol of atoms higher.


*i*
12
Lattice="-4.586 2.907 0.823 -2.903 -4.490 -0.293 4.936 -0.773 11.901" Properties=species:S:1:pos:R:3 comment="HgPSe4, relaxed, DFT PBE-GGA" m_tot_mub_per_atom=0.000 dos_at_fermi_per_ev_atom=1.0800 pbc="T T T"
Hg -2.303 -1.907 3.078
Hg -0.251 -0.450 9.352
P -3.145 1.793 3.629
P 0.591 -4.149 8.802
Se 1.754 0.196 7.709
Se -1.924 -3.824 1.251
Se -0.006 -1.645 4.417
Se 0.421 -2.753 10.533
Se -4.308 -2.553 4.721
Se -2.548 -0.712 8.014
Se -0.630 1.467 11.179
Se -2.975 0.397 1.897


*ii*
6
Lattice="-3.730 -2.615 3.444 -4.799 -2.226 -2.152 -0.648 -5.668 -0.271" Properties=species:S:1:pos:R:3 comment="HgPSe4, relaxed, DFT PBE-GGA" m_tot_mub_per_atom=0.000 dos_at_fermi_per_ev_atom=0.7509 pbc="T T T"
Hg -6.883 -7.881 0.766
P 0.000 0.000 0.000
Se -5.311 -5.248 2.115
Se -3.760 -6.785 0.246
Se -5.849 -5.052 -0.701
Se -3.434 -3.932 0.382


It turns out *i* is the most stable, with the second structure 77.2 kJ/mol of atoms higher.


*i*
4
Lattice="-1.656 -2.055 1.221 2.802 -0.770 -0.114 1.661 4.566 9.943" Properties=species:S:1:pos:R:3 comment="HgP2Se, relaxed, DFT PBE-GGA" m_tot_mub_per_atom=0.000 dos_at_fermi_per_ev_atom=0.4027 pbc="T T T"
Hg 1.834 2.055 8.104
P 0.103 0.284 0.619
P 0.911 -0.483 2.577
Se 0.789 2.168 4.721


*ii*
4
Lattice="3.154 0.000 0.000 0.000 3.154 0.000 0.000 0.000 9.704" Properties=species:S:1:pos:R:3 comment="HgP2Se, relaxed, DFT PBE-GGA" m_tot_mub_per_atom=0.000 dos_at_fermi_per_ev_atom=0.3672 pbc="T T T"
Hg 1.577 1.577 7.338
P 0.000 0.000 1.897
P 1.577 1.577 1.167
Se 0.000 0.000 4.153


It turns out *ii* is the most stable, with the second structure 21.7 kJ/mol of atoms higher.


*i*
3
Lattice="-0.557 6.132 4.783 -3.777 3.050 6.101 3.700 -5.576 -4.000" Properties=species:S:1:pos:R:3 comment="HgPSe, relaxed, DFT PBE-GGA" m_tot_mub_per_atom=0.000 dos_at_fermi_per_ev_atom=0.3389 pbc="T T T"
Hg -4.296 9.099 10.786
P -1.246 2.640 3.129
Se -3.127 6.624 7.852


*ii*
3
Lattice="-1.471 -1.397 6.190 -4.989 1.902 3.732 1.796 -2.396 -5.785" Properties=species:S:1:pos:R:3 comment="HgPSe, relaxed, DFT PBE-GGA" m_tot_mub_per_atom=0.000 dos_at_fermi_per_ev_atom=0.2622 pbc="T T T"
Hg -0.530 0.041 0.814
P -3.551 0.278 5.454
Se -2.379 0.186 3.654


*iii*
3
Lattice="1.845 -3.195 0.000 1.845 3.195 0.000 0.000 0.000 5.547" Properties=species:S:1:pos:R:3 comment="HgPSe, relaxed, DFT PBE-GGA" m_tot_mub_per_atom=0.000 dos_at_fermi_per_ev_atom=0.5880 pbc="T T T"
Hg 0.000 0.000 0.119
P 1.845 -1.065 1.972
Se 1.845 1.065 3.455


*iv*
3
Lattice="2.573 -4.456 0.000 2.573 4.456 0.000 0.000 0.000 2.804" Properties=species:S:1:pos:R:3 comment="HgPSe, relaxed, DFT PBE-GGA" m_tot_mub_per_atom=0.000 dos_at_fermi_per_ev_atom=0.8681 pbc="T T T"
Hg 0.000 0.000 0.939
P 2.573 -1.485 0.934
Se 2.573 1.485 0.932


It turns out *ii* is the most stable, with the second structure 7.2 kJ/mol of atoms higher.